[1]
Compound: KAs2P5
Source: the Alexandria database
Functional: PBE-GGA
Structure: optimized geometry

extended XYZ file:
```
16
Lattice="5.6008 -0.2374 0.0000 -2.8823 4.8082 0.0000 0.0000 0.0000 14.9028" Properties=species:S:1:pos:R:3 pbc="T T T"
P -0.6085 3.4558 8.9347
P 3.3271 1.1150 1.4833
P 3.3271 1.1150 5.9681
P -0.6085 3.4558 13.4195
P 5.2312 -0.0176 1.0689
P -2.5126 4.5883 8.5203
P -2.5126 4.5883 13.8339
P 5.2312 -0.0176 6.3825
P -0.3693 3.3135 11.1771
P 3.0879 1.2572 3.7257
As 0.4368 2.8340 6.8690
As 2.2818 1.7367 14.3204
As 2.2818 1.7367 8.0338
As 0.4368 2.8340 0.5824
K 0.3239 2.9012 3.7257
K 2.3947 1.6695 11.1771
```

Summary:
Symmetry: Cmcm (63)
Formation energy, eV per atom: 0.244

[2]
Compound: K2AsP
Source: the Alexandria database
Functional: PBE-GGA
Structure: optimized geometry

extended XYZ file:
```
4
Lattice="-1.6216 -0.3576 3.5780 3.5156 -3.6937 1.2241 5.3397 2.2413 2.6440" Properties=species:S:1:pos:R:3 pbc="T T T"
P 5.0805 -1.4232 2.1603
As 5.1545 -0.5974 4.4507
K 8.2951 -1.6136 3.5981
K 1.9866 -0.3546 3.0392
```

Summary:
Symmetry: Amm2 (38)
Formation energy, eV per atom: -0.372